The following is a PBE calculation of crystalline Sc2RhN at its relaxed geometry, from Alexandria.

Unit cell a=7.111 b=7.111 c=7.111 alpha=32.00 beta=32.00 gamma=32.00
Fractional coordinates of all 4 atoms:
Sc 0.907 0.907 0.907
Sc 0.093 0.093 0.093
Rh 0.500 0.500 0.500
N 0.000 0.000 0.000

Its total magnetization is 0.0 μB per formula unit. For the total energy, the calculation gives -7.283 eV/atom. As for the formation energy (no corrections): -0.1984 eV/atom. The symmetry is No. 166. Its crystal system is trigonal.